# 1
Density functional theory data (PBE) for crystalline Dy7Tl4O at its relaxed geometry.

Its density of states at the Fermi level is 0.8958 states/eV per atom. The formation energy without anion corrections is -0.552 eV/atom.

The space group is C2/m (No. 12) and the conventional cell measures 16.7707, 4.9190 and 10.9652 Å, with angles of 90.00, 129.38 and 90.00 degrees. The asymmetric unit holds Dy at (0.0000, 0.0000, 0.0000), Dy at (0.0581, 0.5000, 0.2449), Dy at (0.1266, 0.0000, 0.5478), Dy at (0.2142, 0.5000, 0.8506), Tl at (0.0825, 0.0000, 0.7962), Tl at (0.2237, 0.0000, 0.3640) and O at (0.0000, 0.5000, 0.0000).

***

# 2
Density functional theory data (PBE) for crystalline LiZrS2Cl at its relaxed geometry.

Its density of states at the Fermi level is 0.1098 states/eV per atom. The formation energy without anion corrections is -1.199 eV/atom.

The space group is P4/mmm (No. 123) and the conventional cell measures 5.0027, 5.0027 and 5.1064 Å, with angles of 90.00, 90.00 and 90.00 degrees. The asymmetric unit holds Li at (0.0000, 0.0000, 0.0000), Zr at (0.5000, 0.5000, 0.5000), S at (0.0000, 0.5000, 0.5000) and Cl at (0.5000, 0.5000, 0.0000).

***

# 3
Density functional theory data (PBE) for crystalline Nd6Ru2PtCl3 at its relaxed geometry.

Its density of states at the Fermi level is 0.3255 states/eV per atom. The formation energy without anion corrections is -1.059 eV/atom.

The space group is C2/m (No. 12) and the conventional cell measures 7.0833, 12.2768 and 7.9710 Å, with angles of 90.00, 107.18 and 90.00 degrees. The asymmetric unit holds Nd at (0.2226, 0.0000, 0.2058), Nd at (0.2414, 0.3273, 0.2063), Ru at (0.0000, 0.1664, 0.0000), Pt at (0.0000, 0.5000, 0.0000), Cl at (0.0000, 0.0000, 0.5000) and Cl at (0.0000, 0.3276, 0.5000).

***

# 4
Density functional theory data (PBE) for crystalline LaY2Rh2 at its relaxed geometry.

The calculation puts the energy of formation from the pure elements at -31.7 kJ per mole of atoms. Its density of states at the Fermi level is 1.0620 states/eV per atom.

The space group is I4/mmm (No. 139) and the conventional cell measures 5.0892, 5.0892 and 10.4578 Å, with angles of 90.00, 90.00 and 90.00 degrees. The asymmetric unit holds La at (0.0000, 0.0000, 0.0000), Y at (0.0000, 0.0000, 0.3368) and Rh at (0.0000, 0.5000, 0.2500).

***

# 5
Density functional theory data (PBE) for crystalline CrSb2Cl at its relaxed geometry.

Its density of states at the Fermi level is 0.8475 states/eV per atom. The formation energy without anion corrections is 0.057 eV/atom.

The space group is P4mm (No. 99) and the conventional cell measures 3.1073, 3.1073 and 11.2865 Å, with angles of 90.00, 90.00 and 90.00 degrees. The asymmetric unit holds Cr at (0.0000, 0.0000, 0.0000), Sb at (0.0000, 0.0000, 0.5047), Sb at (0.5000, 0.5000, 0.1793) and Cl at (0.5000, 0.5000, 0.8698).

***

# 6
Density functional theory data (PBE) for crystalline Be2AgP at its relaxed geometry.

The calculation puts the energy of formation from the pure elements at 28.0 kJ per mole of atoms. Its density of states at the Fermi level is 0.2121 states/eV per atom.

The space group is R-3m (No. 166, hexagonal axes) and the conventional cell measures 2.8247, 2.8247 and 21.5398 Å, with angles of 90.00, 90.00 and 120.00 degrees. The asymmetric unit holds Be at (0.0000, 0.0000, 0.2429), Ag at (0.0000, 0.0000, 0.0000) and P at (0.0000, 0.0000, 0.5000).